No. 1
# NdY8Er2 | Alexandria via LeMat-Bulk | PBE | relaxed
# - ΔE to the lowest computed polymorph (meV per atom) = 0
# - total energy (eV/cell) = -64.01
data_NdY8Er2
_chemical_formula_sum 'Nd1 Y8 Er2'
_cell_length_a 5.5620
_cell_length_b 10.2146
_cell_length_c 10.2146
_cell_angle_alpha 39.87
_cell_angle_beta 92.71
_cell_angle_gamma 92.71
_space_group_name_H-M_alt 'P 1'
_space_group_IT_number 1
_space_group_name_Hall 'P 1'
loop_
_atom_site_label
_atom_site_fract_x
_atom_site_fract_y
_atom_site_fract_z
Y1 0.7315 0.4001 0.8679
Y2 0.7662 0.8112 0.8112
Y3 0.7630 0.4526 0.4526
Er1 0.7507 0.2844 0.2844
Y4 0.2685 0.1321 0.5999
Y5 0.7315 0.8679 0.4001
Y6 0.2370 0.5474 0.5474
Y7 0.2338 0.1888 0.1888
Er2 0.2493 0.7156 0.7156
Y8 0.2685 0.5999 0.1321
Nd1 0.0000 0.0000 0.0000


No. 2
# GaHg | Alexandria via LeMat-Bulk | PBE | relaxed
# - total energy (eV/cell) = -49.63
data_GaHg
_chemical_formula_sum 'Ga16 Hg16'
_cell_length_a 8.5478
_cell_length_b 12.5841
_cell_length_c 7.4853
_cell_angle_alpha 90.00
_cell_angle_beta 90.00
_cell_angle_gamma 90.00
_space_group_name_H-M_alt 'P 1'
_space_group_IT_number 1
_space_group_name_Hall 'P 1'
loop_
_atom_site_label
_atom_site_fract_x
_atom_site_fract_y
_atom_site_fract_z
Ga1 0.5000 0.1024 0.5000
Ga2 0.0000 0.6024 0.5000
Hg1 0.1700 0.0000 0.5000
Hg2 0.3300 0.5000 0.5000
Hg3 0.3300 0.0000 0.0000
Ga3 0.0000 0.3976 0.5000
Hg4 0.5800 0.7500 0.2500
Ga4 0.2500 0.8524 0.2500
Hg5 0.6700 0.5000 0.5000
Ga5 0.7500 0.8524 0.7500
Hg6 0.1700 0.5000 0.0000
Hg7 0.0800 0.7500 0.7500
Ga6 0.0000 0.1024 0.0000
Ga7 0.5000 0.6024 0.0000
Hg8 0.9200 0.7500 0.2500
Ga8 0.7500 0.3524 0.2500
Hg9 0.4200 0.7500 0.7500
Hg10 0.6700 0.0000 0.0000
Ga9 0.0000 0.8976 0.0000
Hg11 0.4200 0.2500 0.2500
Hg12 0.8300 0.5000 0.0000
Ga10 0.5000 0.3976 0.0000
Hg13 0.5800 0.2500 0.7500
Ga11 0.2500 0.1476 0.7500
Ga12 0.5000 0.8976 0.5000
Hg14 0.0800 0.2500 0.2500
Ga13 0.7500 0.6476 0.7500
Hg15 0.8300 0.0000 0.5000
Hg16 0.9200 0.2500 0.7500
Ga14 0.7500 0.1476 0.2500
Ga15 0.2500 0.3524 0.7500
Ga16 0.2500 0.6476 0.2500


No. 3
# KRb2LiSb | Alexandria via LeMat-Bulk | PBE | relaxed
# - uncorrected formation energy (eV/atom) = -0.20
# - ΔE to the lowest computed polymorph (meV per atom) = 0
# - total energy (eV/cell) = -10.08
data_KRb2LiSb
_chemical_formula_sum 'K1 Rb2 Li1 Sb1'
_cell_length_a 6.7347
_cell_length_b 6.7347
_cell_length_c 5.1601
_cell_angle_alpha 90.00
_cell_angle_beta 90.00
_cell_angle_gamma 90.00
_space_group_name_H-M_alt 'P 1'
_space_group_IT_number 1
_space_group_name_Hall 'P 1'
loop_
_atom_site_label
_atom_site_fract_x
_atom_site_fract_y
_atom_site_fract_z
Rb1 0.5000 0.0000 0.0000
Rb2 0.0000 0.5000 0.0000
Sb1 0.0000 0.0000 0.5000
Li1 0.0000 0.0000 0.0000
K1 0.5000 0.5000 0.5000


No. 4
# Zn2NiSb3 | Alexandria via LeMat-Bulk | PBE | relaxed
# - uncorrected formation energy (eV/atom) = 0.14
# - total energy (eV/cell) = -19.84
data_Zn2NiSb3
_chemical_formula_sum 'Zn2 Ni1 Sb3'
_cell_length_a 4.1345
_cell_length_b 4.1345
_cell_length_c 8.7701
_cell_angle_alpha 90.00
_cell_angle_beta 90.00
_cell_angle_gamma 120.00
_space_group_name_H-M_alt 'P 1'
_space_group_IT_number 1
_space_group_name_Hall 'P 1'
loop_
_atom_site_label
_atom_site_fract_x
_atom_site_fract_y
_atom_site_fract_z
Zn1 0.3333 0.6667 0.9154
Ni1 0.0000 0.0000 0.0000
Sb1 0.3333 0.6667 0.2706
Sb2 0.6667 0.3333 0.7294
Zn2 0.6667 0.3333 0.0846
Sb3 0.0000 0.0000 0.5000